(1)
A relaxed Pm2VO crystal, computed with GGA+U.

Results
VASP energy: -24.33 eV per cell
Magnetic moment: 2.88 Bohr magnetons per cell

Cell lengths 3.4590, 3.4590, 9.2734 Å; angles 79.25, 79.25, 60.00 degrees
Site moments in Bohr magnetons follow the coordinates.
Sites, in units of the cell vectors:
1 V 0.0000 0.0000 0.0000  2.78
2 O 0.5000 0.5000 0.5000  -0.02
3 Pm 0.1135 0.1135 0.6594  -0.07
4 Pm 0.8865 0.8865 0.3406  -0.07


(2)
A relaxed PmVO5 crystal, computed with GGA+U.

Results
VASP energy: -100.21 eV per cell
Magnetic moment: 4.01 Bohr magnetons per cell

Cell lengths 5.5720, 5.5720, 7.5933 Å; angles 71.11, 71.11, 70.85 degrees
Site moments in Bohr magnetons follow the coordinates.
Sites, in units of the cell vectors:
1 Pm 0.5600 0.4400 0.2500  -0.02
2 Pm 0.4400 0.5600 0.7500  -0.02
3 V 0.0000 0.0000 0.0000  -0.30
4 V 0.0000 0.0000 0.5000  -0.30
5 O 0.8064 0.7554 0.1058  0.50
6 O 0.2749 0.7065 0.4639  0.31
7 O 0.7554 0.8064 0.6058  0.50
8 O 0.9362 0.0638 0.2500  0.30
9 O 0.2935 0.7251 0.0361  0.31
10 O 0.7065 0.2749 0.9639  0.31
11 O 0.0638 0.9362 0.7500  0.30
12 O 0.2446 0.1936 0.3942  0.50
13 O 0.7251 0.2935 0.5361  0.31
14 O 0.1936 0.2446 0.8942  0.50


(3)
A relaxed PmV2WO8 crystal, computed with GGA+U.

Results
VASP energy: -93.45 eV per cell
Magnetic moment: 3.00 Bohr magnetons per cell

Cell lengths 4.7603, 4.7588, 6.5266 Å; angles 90.00, 90.00, 88.15 degrees
Site moments in Bohr magnetons follow the coordinates.
Sites, in units of the cell vectors:
1 Pm 0.0000 0.0000 0.5000  0.01
2 V 0.5000 0.5000 0.7467  1.55
3 V 0.5000 0.5000 0.2533  1.55
4 W 0.0000 0.0000 0.0000  0.12
5 O 0.2053 0.7942 0.2122  -0.04
6 O 0.7081 0.7085 0.0000  -0.04
7 O 0.7947 0.2058 0.2122  -0.04
8 O 0.7947 0.2058 0.7878  -0.04
9 O 0.2919 0.2915 0.0000  -0.04
10 O 0.2053 0.7942 0.7878  -0.04
11 O 0.6699 0.6706 0.5000  -0.07
12 O 0.3301 0.3294 0.5000  -0.07


(4)
A relaxed PmYV2O8 crystal, computed with GGA+U.

Results
VASP energy: -98.41 eV per cell
Magnetic moment: 0.00 Bohr magnetons per cell

Cell lengths 6.0827, 6.0827, 6.0827 Å; angles 106.14, 106.14, 116.36 degrees
Sites, in units of the cell vectors:
1 Pm 0.2500 0.7500 0.5000
2 Y 0.0000 0.0000 0.0000
3 V 0.7500 0.2500 0.5000
4 V 0.5000 0.5000 0.0000
5 O 0.3936 0.0785 0.3152
6 O 0.3237 0.5044 0.1807
7 O 0.3237 0.1430 0.8193
8 O 0.7633 0.0785 0.6848
9 O 0.8570 0.6763 0.1807
10 O 0.9215 0.2367 0.3152
11 O 0.9215 0.6064 0.6848
12 O 0.4956 0.6763 0.8193